# MgMnMoH (PBE, relaxed)
# **DOS(E_F)**: 0.6034 states/eV per atom
# **Energy above the lowest structure with this stoichiometry**: 99 meV/atom
data_MgMnMoH
_space_group_name_H-M_alt 'R 3 m'
_space_group_IT_number 160
_space_group_name_Hall 'R 3 -2"'
_cell_length_a 2.8212
_cell_length_b 2.8212
_cell_length_c 20.3793
_cell_angle_alpha 90.00
_cell_angle_beta 90.00
_cell_angle_gamma 120.00
loop_
_atom_site_label
_atom_site_type_symbol
_atom_site_fract_x
_atom_site_fract_y
_atom_site_fract_z
Mg1 Mg 0.0000 0.0000 0.0000
Mn1 Mn 0.0000 0.0000 0.4485
Mo1 Mo 0.0000 0.0000 0.2125
H1 H 0.0000 0.0000 0.7464

---

# TmZr2Cd6 (PBE, relaxed)
# **DOS(E_F)**: 0.6934 states/eV per atom
# **Formation energy**: -14.26 kJ/mol of atoms
data_TmZr2Cd6
_space_group_name_H-M_alt 'R -3 m'
_space_group_IT_number 166
_space_group_name_Hall '-R 3 2"'
_cell_length_a 8.5323
_cell_length_b 8.5323
_cell_length_c 9.5344
_cell_angle_alpha 90.00
_cell_angle_beta 90.00
_cell_angle_gamma 120.00
loop_
_atom_site_label
_atom_site_type_symbol
_atom_site_fract_x
_atom_site_fract_y
_atom_site_fract_z
Tm1 Tm 0.0000 0.0000 0.0000
Zr1 Zr 0.0000 0.0000 0.3465
Cd1 Cd 0.9995 0.3329 0.1667

---

# FeAuCl2 (PBE, relaxed)
# **Formation energy from raw total energies**: -0.01 eV per atom
# **DOS(E_F)**: 0.5082 states/eV per atom
# **Energy above the lowest structure with this stoichiometry**: 211 meV/atom
data_FeAuCl2
_space_group_name_H-M_alt 'P 4/m m m'
_space_group_IT_number 123
_space_group_name_Hall '-P 4 2'
_cell_length_a 2.9818
_cell_length_b 2.9818
_cell_length_c 10.2432
_cell_angle_alpha 90.00
_cell_angle_beta 90.00
_cell_angle_gamma 90.00
loop_
_atom_site_label
_atom_site_type_symbol
_atom_site_fract_x
_atom_site_fract_y
_atom_site_fract_z
Fe1 Fe 0.0000 0.0000 0.0000
Au1 Au 0.0000 0.0000 0.5000
Cl1 Cl 0.5000 0.5000 0.1479

---

# VNiMo (PBE, relaxed)
# **DOS(E_F)**: 0.7318 states/eV per atom
# **Energy above the lowest structure with this stoichiometry**: 57 meV/atom
# **Formation energy**: -7.37 kJ/mol of atoms
data_VNiMo
_space_group_name_H-M_alt 'F m m 2'
_space_group_IT_number 42
_space_group_name_Hall 'F 2 -2'
_cell_length_a 3.3672
_cell_length_b 3.9205
_cell_length_c 12.1409
_cell_angle_alpha 90.00
_cell_angle_beta 90.00
_cell_angle_gamma 90.00
loop_
_atom_site_label
_atom_site_type_symbol
_atom_site_fract_x
_atom_site_fract_y
_atom_site_fract_z
V1 V 0.0000 0.0000 0.0000
Ni1 Ni 0.0000 0.0000 0.3489
Mo1 Mo 0.0000 0.0000 0.6829

---

# Ca2AgSb2 (PBE, relaxed)
# **Formation energy from raw total energies**: -0.70 eV per atom
# **DOS(E_F)**: 0.1200 states/eV per atom
# **Energy above the lowest structure with this stoichiometry**: 0 meV/atom
data_Ca2AgSb2
_space_group_name_H-M_alt 'C 1 2/m 1'
_space_group_IT_number 12
_space_group_name_Hall '-C 2y'
_cell_length_a 11.9285
_cell_length_b 4.6217
_cell_length_c 11.0794
_cell_angle_alpha 90.00
_cell_angle_beta 114.59
_cell_angle_gamma 90.00
loop_
_atom_site_label
_atom_site_type_symbol
_atom_site_fract_x
_atom_site_fract_y
_atom_site_fract_z
Ca1 Ca 0.0153 0.0000 0.3455
Ca2 Ca 0.1725 0.0000 0.1018
Ag1 Ag 0.1941 0.5000 0.3376
Sb1 Sb 0.0443 0.5000 0.8837
Sb2 Sb 0.1606 0.5000 0.5930

---

# La2Ge3 (PBE, relaxed)
# **DOS(E_F)**: 0.3528 states/eV per atom
# **Formation energy**: -70.78 kJ/mol of atoms
data_La2Ge3
_space_group_name_H-M_alt 'I m m 2'
_space_group_IT_number 44
_space_group_name_Hall 'I 2 -2'
_cell_length_a 4.1516
_cell_length_b 4.3380
_cell_length_c 14.6744
_cell_angle_alpha 90.00
_cell_angle_beta 90.00
_cell_angle_gamma 90.00
loop_
_atom_site_label
_atom_site_type_symbol
_atom_site_fract_x
_atom_site_fract_y
_atom_site_fract_z
La1 La 0.0000 0.0000 0.0000
La2 La 0.0000 0.5000 0.2513
Ge1 Ge 0.0000 0.0000 0.4237
Ge2 Ge 0.0000 0.0000 0.5930
Ge3 Ge 0.0000 0.5000 0.8203

---

# Ce2Si4IrRh3 (PBE, relaxed)
# **Formation energy from raw total energies**: -1.04 eV per atom
# **DOS(E_F)**: 0.8104 states/eV per atom
data_Ce2Si4IrRh3
_space_group_name_H-M_alt 'P -4 m 2'
_space_group_IT_number 115
_space_group_name_Hall 'P -4 -2'
_cell_length_a 4.1481
_cell_length_b 4.1481
_cell_length_c 9.9169
_cell_angle_alpha 90.00
_cell_angle_beta 90.00
_cell_angle_gamma 90.00
loop_
_atom_site_label
_atom_site_type_symbol
_atom_site_fract_x
_atom_site_fract_y
_atom_site_fract_z
Ce1 Ce 0.0000 0.5000 0.2429
Si1 Si 0.0000 0.0000 0.0000
Si2 Si 0.0000 0.5000 0.6298
Si3 Si 0.5000 0.5000 0.0000
Ir1 Ir 0.0000 0.0000 0.5000
Rh1 Rh 0.0000 0.5000 0.8733
Rh2 Rh 0.5000 0.5000 0.5000

---

# Nb2CdRu (PBE, relaxed)
# **DOS(E_F)**: 1.2645 states/eV per atom
# **Energy above the lowest structure with this stoichiometry**: 36 meV/atom
# **Formation energy**: 32.03 kJ/mol of atoms
data_Nb2CdRu
_space_group_name_H-M_alt 'R -3 m'
_space_group_IT_number 166
_space_group_name_Hall '-R 3 2"'
_cell_length_a 2.8714
_cell_length_b 2.8714
_cell_length_c 31.4767
_cell_angle_alpha 90.00
_cell_angle_beta 90.00
_cell_angle_gamma 120.00
loop_
_atom_site_label
_atom_site_type_symbol
_atom_site_fract_x
_atom_site_fract_y
_atom_site_fract_z
Nb1 Nb 0.0000 0.0000 0.0961
Cd1 Cd 0.0000 0.0000 0.0000
Ru1 Ru 0.0000 0.0000 0.5000